# 1
K2TiGe: relaxed, PBE.

Structure (POSCAR):
```
K2TiGe
1.0
-8.291 -6.763 7.204
8.197 0.542 9.944
-1.126 -0.965 9.346
Ge Ti K
2 2 4
direct
0.750 0.250 0.500
0.000 0.000 0.000
0.500 0.500 0.000
0.250 0.750 0.500
0.939 0.625 0.250
0.811 0.125 0.250
0.375 0.189 0.750
0.875 0.061 0.750
```

Output
formation energy = 0.47 eV/atom
V = 419.7 Å³ per cell

---

# 2
ScNi2Ir: relaxed, PBE.

Structure (POSCAR):
```
ScNi2Ir
1.0
4.928 0.068 0.414
4.023 2.847 0.414
1.467 0.478 4.165
Ni Ir Sc
2 1 1
direct
0.005 0.005 0.072
0.739 0.739 0.697
0.261 0.261 0.172
0.496 0.496 0.559
```

Output
formation energy = -0.32 eV/atom
V = 55.4 Å³ per cell